1.
VASP calculation (PBE-GGA) on crystalline ZnIrW at its relaxed geometry.

Properties
Calculated formation energy in eV per formula unit: -0.6
Energy relative to the lowest polymorph listed for this composition in eV per atom: 0.000
Magnetic moment in μB/f.u.: 0.0

Cell lengths 2.8292, 2.8292, 11.2477 Å; angles 90.00, 90.00, 90.00 degrees
Last column: nearest neighbours and their distance in Å.
Element x y z (fractional)
Ir1 0.0000 0.5000 0.2581  4 Zn 2.68, 4 W 2.71, 4 Ir 2.83
W1 0.0000 0.5000 0.9038  4 Ir 2.71, 8 W 2.83-2.95
Zn1 0.5000 0.0000 0.4162  4 Ir 2.68, 8 Zn 2.75-2.83
W2 0.5000 0.0000 0.0962  4 Ir 2.71, 8 W 2.83-2.95
Ir2 0.5000 0.0000 0.7419  4 Zn 2.68, 4 W 2.71, 4 Ir 2.83
Zn2 0.0000 0.5000 0.5838  4 Ir 2.68, 8 Zn 2.75-2.83

=====

2.
VASP calculation (PBE-GGA) on crystalline Zn2IrW at its relaxed geometry.

Properties
Calculated formation energy in eV per formula unit: 0.9
Energy relative to the lowest polymorph listed for this composition in eV per atom: 0.319
Magnetic moment in μB/f.u.: 0.0

Cell lengths 4.9042, 4.9042, 2.7640 Å; angles 90.00, 90.00, 115.85 degrees
Last column: nearest neighbours and their distance in Å.
Element x y z (fractional)
Zn1 0.5000 0.5000 0.0000  4 Zn 2.60-2.76, 4 W 2.81, 4 Ir 2.81
W1 0.0000 0.5000 0.5000  2 Ir 2.60, 2 W 2.76, 8 Zn 2.81
Zn2 0.0000 0.0000 0.0000  4 Zn 2.60-2.76, 4 Ir 2.81, 4 W 2.81
Ir1 0.5000 0.0000 0.5000  2 W 2.60, 2 Ir 2.76, 8 Zn 2.81

=====

3.
VASP calculation (PBE-GGA) on crystalline ZnIr2W at its relaxed geometry.

Properties
Calculated formation energy in eV per formula unit: 0.2
Magnetic moment in μB/f.u.: 0.0

Cell lengths 2.7488, 2.7488, 8.9762 Å; angles 90.00, 90.00, 116.92 degrees
Last column: nearest neighbours and their distance in Å.
Element x y z (fractional)
Ir1 0.0000 0.0000 0.5021  2 Zn 2.65, 2 W 2.68, 6 Ir 2.75-2.88
Ir2 0.0000 0.0000 0.9979  2 Zn 2.65, 2 W 2.68, 6 Ir 2.75-2.88
Zn1 0.5000 0.5000 0.7500  4 Ir 2.65, 6 Zn 2.75-2.88
W1 0.5000 0.5000 0.2500  4 Ir 2.68, 6 W 2.75-2.88

=====

4.
VASP calculation (PBE-GGA) on crystalline Zn2IrW at its relaxed geometry.

Properties
Calculated formation energy in eV per formula unit: -0.4
Energy relative to the lowest polymorph listed for this composition in eV per atom: 0.000
Magnetic moment in μB/f.u.: 0.0

Cell lengths 2.8779, 2.8779, 7.1151 Å; angles 90.00, 90.00, 90.00 degrees
Last column: nearest neighbours and their distance in Å.
Element x y z (fractional)
Zn1 0.0000 0.0000 0.0069  8 Zn 2.68-2.88, 4 W 2.77
W1 0.5000 0.5000 0.7435  4 Ir 2.68, 4 Zn 2.77, 4 W 2.88
Ir1 0.0000 0.0000 0.4982  4 W 2.68, 4 Zn 2.69, 4 Ir 2.88
Zn2 0.5000 0.5000 0.2514  8 Zn 2.68-2.88, 4 Ir 2.69

=====

5.
VASP calculation (PBE-GGA) on crystalline ZnIr2W at its relaxed geometry.

Properties
Calculated formation energy in eV per formula unit: -0.2
Magnetic moment in μB/f.u.: 0.0

Cell lengths 4.7197, 4.7197, 4.8090 Å; angles 80.81, 80.81, 34.02 degrees
Last column: nearest neighbours and their distance in Å.
Element x y z (fractional)
Ir1 0.4978 0.4978 0.5004  3 Zn 2.71-2.76, 3 W 2.73-2.74, 6 Ir 2.76-2.78
Ir2 0.0022 0.0022 0.9996  3 Zn 2.71-2.76, 3 W 2.73-2.74, 6 Ir 2.76-2.78
Zn1 0.2500 0.2500 0.2500  6 Ir 2.71-2.76, 2 Zn 2.76, 4 W 2.77
W1 0.7500 0.7500 0.7500  6 Ir 2.73-2.74, 2 W 2.76, 4 Zn 2.77

=====

6.
VASP calculation (PBE-GGA) on crystalline Zn2Ir2W at its relaxed geometry.

Properties
Calculated formation energy in eV per formula unit: -1.2
Energy relative to the lowest polymorph listed for this composition in eV per atom: 0.000
Magnetic moment in μB/f.u.: 0.0

Cell lengths 2.8497, 2.8205, 9.6521 Å; angles 81.60, 90.00, 90.00 degrees
Last column: nearest neighbours and their distance in Å.
Element x y z (fractional)
Zn1 0.0000 0.1901 0.6197  6 Zn 2.69-2.85, 4 Ir 2.69
W1 0.0000 0.0000 0.0000  8 Ir 2.72, 4 W 2.82-2.85
Ir1 0.5000 0.5960 0.8080  4 Zn 2.69, 4 W 2.72, 4 Ir 2.82-2.85
Ir2 0.5000 0.4040 0.1920  4 Zn 2.69, 4 W 2.72, 4 Ir 2.82-2.85
Zn2 0.0000 0.8099 0.3803  6 Zn 2.69-2.85, 4 Ir 2.69

=====

7.
VASP calculation (PBE-GGA) on crystalline Zn2IrW at its relaxed geometry.

Properties
Calculated formation energy in eV per formula unit: 0.5
Energy relative to the lowest polymorph listed for this composition in eV per atom: 0.227
Magnetic moment in μB/f.u.: 0.0

Cell lengths 5.2036, 5.2036, 5.2036 Å; angles 147.58, 128.59, 62.11 degrees
Last column: nearest neighbours and their distance in Å.
Element x y z (fractional)
W1 0.2535 0.7535 0.5000  2 Ir 2.66, 6 Zn 2.68-2.73, 2 W 2.91
Zn1 0.9938 0.9938 0.0000  4 Zn 2.61-2.91, 4 Ir 2.69, 2 W 2.73
Ir1 0.5027 0.5027 0.0000  6 Zn 2.64-2.69, 2 W 2.66, 2 Ir 2.91
Zn2 0.7501 0.2501 0.5000  4 Zn 2.61-2.91, 2 Ir 2.64, 4 W 2.68

=====

8.
VASP calculation (PBE-GGA) on crystalline Zn2IrW at its relaxed geometry.

Properties
Calculated formation energy in eV per formula unit: 2.5
Energy relative to the lowest polymorph listed for this composition in eV per atom: 0.722
Magnetic moment in μB/f.u.: 0.0

Cell lengths 7.0346, 7.0346, 5.6063 Å; angles 51.14, 51.14, 90.00 degrees
Last column: nearest neighbours and their distance in Å.
Element x y z (fractional)
Ir1 0.0000 0.0000 0.0000  4 Zn 2.52, 2 W 2.59
W1 0.5000 0.5000 0.0000  2 Ir 2.59, 4 Zn 2.62
Zn1 0.1140 0.6250 0.2500  2 Ir 2.52, 2 Zn 2.59, 2 W 2.62
Zn2 0.6360 0.1250 0.2500  2 Ir 2.52, 2 Zn 2.59, 2 W 2.62
Ir2 0.7500 0.2500 0.5000  4 Zn 2.52, 2 W 2.59
W2 0.2500 0.7500 0.5000  2 Ir 2.59, 4 Zn 2.62
Zn3 0.3750 0.3640 0.7500  2 Ir 2.52, 2 Zn 2.59, 2 W 2.62
Zn4 0.8750 0.8860 0.7500  2 Ir 2.52, 2 Zn 2.59, 2 W 2.62